1.
CdBPd3 after structural relaxation. Source: OQMD, functional PBE. Values from VASP.

Quantum ESPRESSO input file:
```
&SYSTEM
  ibrav = 0, nat = 10, ntyp = 3
/
ATOMIC_SPECIES
Cd 112.41 Cd.upf
B 10.81 B.upf
Pd 106.42 Pd.upf
CELL_PARAMETERS angstrom
5.055 -2.961 0.000
5.055 2.961 0.000
-3.084 0.000 5.006
ATOMIC_POSITIONS angstrom
Cd 3.513 1.564 2.503
Cd 5.055 -1.564 0.000
B 6.799 1.482 1.255
B 5.257 -1.482 3.758
Pd 1.035 0.209 2.301
Pd 1.969 1.330 5.000
Pd -0.507 -0.209 4.804
Pd 5.988 0.202 2.710
Pd 3.510 -1.330 2.497
Pd 7.530 -0.202 0.207
```

***

2.
CdBPd3 after structural relaxation. Source: OQMD, functional PBE. Values from VASP.

Quantum ESPRESSO input file:
```
&SYSTEM
  ibrav = 0, nat = 10, ntyp = 3
/
ATOMIC_SPECIES
Cd 112.41 Cd.upf
B 10.81 B.upf
Pd 106.42 Pd.upf
CELL_PARAMETERS angstrom
9.110 -1.463 0.000
9.110 1.463 0.000
-0.345 0.000 5.480
ATOMIC_POSITIONS angstrom
Cd 1.187 0.000 1.859
Cd 16.688 0.000 3.621
B 2.420 0.000 4.693
B 15.455 0.000 0.787
Pd 5.292 0.000 4.841
Pd 5.501 0.000 2.125
Pd 8.002 0.000 0.869
Pd 9.873 0.000 4.611
Pd 12.374 0.000 3.355
Pd 12.583 0.000 0.639
```

***

3.
! PrCdB, optimized geometry, DFT PBE; values from VASP
! **Total magnetic moment**: 0.00 μB/f.u.
&SYSTEM
  ibrav = 0, nat = 3, ntyp = 3
/
ATOMIC_SPECIES
Pr 140.91 Pr.upf
Cd 112.41 Cd.upf
B 10.81 B.upf
CELL_PARAMETERS angstrom
0.000 3.178 3.178
3.178 0.000 3.178
3.178 3.178 0.000
ATOMIC_POSITIONS angstrom
Pr 0.000 0.000 0.000
Cd 3.178 3.178 3.178
B 4.766 4.766 4.766

***

4.
! PrCdB, optimized geometry, DFT PBE; values from VASP
! **Total magnetic moment**: 0.00 μB/f.u.
&SYSTEM
  ibrav = 0, nat = 3, ntyp = 3
/
ATOMIC_SPECIES
Pr 140.91 Pr.upf
Cd 112.41 Cd.upf
B 10.81 B.upf
CELL_PARAMETERS angstrom
0.000 3.378 3.378
3.378 0.000 3.378
3.378 3.378 0.000
ATOMIC_POSITIONS angstrom
Pr 0.000 0.000 0.000
Cd 1.689 1.689 1.689
B 5.067 5.067 5.067

***

Taking the records one at a time from the top gives VASP energy values of -49.433 -49.099 -12.251 -9.640 eV for the cell shown.
Taking the records one at a time from the top gives mass density values of 9.81 10.06 6.84 5.69 g/cm3.